Entry 1:
Compound: Li4MnCo2O7
Source: the Alexandria database
Functional: GGA+U
Structure: relaxed

Properties
* M_tot: 18.00 μB/cell
* E: -5.837 eV/atom

a b c (Å): 4.9914 6.5735 7.8010
angles (deg): 86.12 77.62 83.31
Element x y z (fractional)
Li1 0.0000 0.0000 0.0000
Li2 0.0693 0.8582 0.3481
Li3 0.2153 0.5781 0.0720
Li4 0.3570 0.2815 0.7960
Li5 0.4985 0.9991 0.5014
Li6 0.6515 0.7206 0.2104
Li7 0.7926 0.4151 0.9328
Li8 0.9249 0.1378 0.6542
Mn1 0.1408 0.7136 0.7173
Mn2 0.2829 0.4266 0.4307
Co1 0.4199 0.1412 0.1343
Co2 0.5678 0.8626 0.8665
Co3 0.7114 0.5697 0.5736
Co4 0.8520 0.2704 0.2810
O1 0.0320 0.4453 0.6638
O2 0.1145 0.2859 0.0500
O3 0.1785 0.1642 0.3965
O4 0.2613 0.9697 0.7484
O5 0.3407 0.8618 0.1069
O6 0.3923 0.6917 0.4817
O7 0.4578 0.5816 0.8013
O8 0.5226 0.4269 0.2015
O9 0.5900 0.3104 0.5323
O10 0.6642 0.1371 0.8972
O11 0.7430 0.0168 0.2560
O12 0.8353 0.8304 0.6136
O13 0.8958 0.7118 0.9408
O14 0.9623 0.5539 0.3442

Entry 2:
Compound: Li4MnCo2O7
Source: the Alexandria database
Functional: GGA+U
Structure: relaxed

Properties
* M_tot: 12.00 μB/cell
* E: -5.820 eV/atom

a b c (Å): 2.9090 5.8777 14.4568
angles (deg): 83.37 84.57 87.70
Element x y z (fractional)
Li1 0.0000 0.0000 0.0000
Li2 0.0190 0.5259 0.0000
Li3 0.1383 0.0810 0.7219
Li4 0.2878 0.6508 0.4426
Li5 0.4308 0.2169 0.1345
Li6 0.5682 0.8017 0.8678
Li7 0.7116 0.3652 0.5810
Li8 0.8616 0.9359 0.2950
Mn1 0.4503 0.7312 0.1431
Mn2 0.8623 0.4306 0.2959
Co1 0.1378 0.5797 0.7230
Co2 0.2866 0.1490 0.4407
Co3 0.5718 0.2901 0.8695
Co4 0.7117 0.8636 0.5815
O1 0.0424 0.0668 0.8596
O2 0.1091 0.5358 0.8564
O3 0.1689 0.6240 0.5870
O4 0.2527 0.1032 0.5757
O5 0.3249 0.1891 0.3028
O6 0.4025 0.6756 0.2875
O7 0.5040 0.7576 0.0160
O8 0.5117 0.2680 0.9915
O9 0.6216 0.8027 0.7159
O10 0.6510 0.3574 0.7309
O11 0.7705 0.3746 0.4369
O12 0.8016 0.9255 0.4457
O13 0.9323 0.9490 0.1489
O14 0.9616 0.4972 0.1519

Entry 3:
Compound: Li5MnCo2O8
Source: the Alexandria database
Functional: GGA+U
Structure: relaxed

Properties
* M_tot: 8.00 μB/cell
* E: -5.748 eV/atom

a b c (Å): 4.9630 5.0886 5.8356
angles (deg): 72.82 89.85 80.57
Element x y z (fractional)
Li1 0.0000 0.0000 0.0000
Li2 0.0037 0.0070 0.5092
Li3 0.5110 0.9861 0.7508
Li4 0.5168 0.9832 0.2602
Li5 0.7574 0.4943 0.6277
Mn1 0.2574 0.4940 0.8788
Co1 0.2573 0.4940 0.3905
Co2 0.7577 0.4914 0.1260
O1 0.1184 0.2673 0.1766
O2 0.1530 0.2601 0.7040
O3 0.3609 0.7309 0.5822
O4 0.3987 0.7154 0.0645
O5 0.6201 0.2758 0.9525
O6 0.6258 0.2709 0.4119
O7 0.8905 0.7072 0.2997
O8 0.8934 0.7150 0.8414

Entry 4:
Compound: Li4MnCo2O7
Source: the Alexandria database
Functional: GGA+U
Structure: relaxed

Properties
* M_tot: 14.05 μB/cell
* E: -5.729 eV/atom

a b c (Å): 10.6369 10.6369 8.3629
angles (deg): 101.72 101.72 15.61
Element x y z (fractional)
Li1 0.0000 0.0000 0.0000
Li2 0.0000 0.0000 0.5000
Li3 0.1420 0.1420 0.5747
Li4 0.2845 0.2845 0.1425
Li5 0.4291 0.4291 0.6909
Li6 0.5709 0.5709 0.3091
Li7 0.7155 0.7155 0.8575
Li8 0.8580 0.8580 0.4253
Mn1 0.4307 0.4307 0.2273
Mn2 0.5693 0.5693 0.7727
Co1 0.1413 0.1413 0.0709
Co2 0.2867 0.2867 0.6430
Co3 0.7133 0.7133 0.3570
Co4 0.8587 0.8587 0.9291
O1 0.0072 0.0072 0.7525
O2 0.1346 0.1346 0.8208
O3 0.1453 0.1453 0.3181
O4 0.2798 0.2798 0.3927
O5 0.2903 0.2903 0.8922
O6 0.4259 0.4259 0.9832
O7 0.4275 0.4275 0.4416
O8 0.5725 0.5725 0.5584
O9 0.5741 0.5741 0.0168
O10 0.7097 0.7097 0.1078
O11 0.7202 0.7202 0.6073
O12 0.8547 0.8547 0.6819
O13 0.8654 0.8654 0.1792
O14 0.9928 0.9928 0.2475

Entry 5:
Compound: Li6Mn3CoO10
Source: the Alexandria database
Functional: GGA+U
Structure: relaxed

Properties
* M_tot: 12.08 μB/cell
* E: -6.140 eV/atom

a b c (Å): 7.8032 7.8032 5.1044
angles (deg): 95.97 95.97 142.55
Element x y z (fractional)
Li1 0.0000 0.0000 0.0000
Li2 0.2077 0.7923 0.0000
Li3 0.4081 0.5919 0.0000
Li4 0.6023 0.3977 0.0000
Li5 0.8141 0.1859 0.0000
Li6 0.9095 0.0905 0.5000
Mn1 0.1041 0.8959 0.5000
Mn2 0.3106 0.6894 0.5000
Mn3 0.7093 0.2907 0.5000
Co1 0.5020 0.4980 0.5000
O1 0.0487 0.4492 0.7198
O2 0.1728 0.3780 0.2606
O3 0.2484 0.2126 0.7344
O4 0.3651 0.1359 0.2796
O5 0.4524 0.0368 0.7178
O6 0.5508 0.9513 0.2802
O7 0.6220 0.8272 0.7394
O8 0.7874 0.7516 0.2656
O9 0.8641 0.6349 0.7204
O10 0.9632 0.5476 0.2822

Entry 6:
Compound: Li4MnCo2O7
Source: the Alexandria database
Functional: GGA+U
Structure: relaxed

Properties
* M_tot: 7.99 μB/cell
* E: -5.827 eV/atom

a b c (Å): 9.7312 9.7312 9.6639
angles (deg): 114.81 114.81 16.97
Element x y z (fractional)
Li1 0.0000 0.0000 0.0000
Li2 0.1331 0.1331 0.5501
Li3 0.2939 0.2939 0.1284
Li4 0.4335 0.4335 0.7107
Li5 0.5003 0.5003 0.4870
Li6 0.5659 0.5659 0.2791
Li7 0.7216 0.7216 0.8478
Li8 0.8731 0.8731 0.4302
Mn1 0.0724 0.0724 0.7718
Mn2 0.2158 0.2158 0.3439
Co1 0.3622 0.3622 0.9261
Co2 0.6464 0.6464 0.0603
Co3 0.7918 0.7918 0.6420
Co4 0.9324 0.9324 0.2128
O1 0.0307 0.0307 0.3713
O2 0.1175 0.1175 0.1613
O3 0.1754 0.1754 0.9614
O4 0.2621 0.2621 0.7502
O5 0.3140 0.3140 0.5139
O6 0.3982 0.3982 0.3004
O7 0.4589 0.4589 0.1049
O8 0.5490 0.5490 0.8865
O9 0.6082 0.6082 0.6852
O10 0.6817 0.6817 0.4353
O11 0.7442 0.7442 0.2403
O12 0.8338 0.8338 0.0278
O13 0.8949 0.8949 0.8307
O14 0.9753 0.9753 0.6210

Entry 7:
Compound: LiMn2Co2O8
Source: the Alexandria database
Functional: GGA+U
Structure: relaxed

Properties
* M_tot: 0.95 μB/cell
* E: -6.334 eV/atom

a b c (Å): 5.6975 5.7104 5.7413
angles (deg): 119.57 90.25 119.44
Element x y z (fractional)
Li1 0.0000 0.0000 0.0000
Mn1 0.5000 0.0000 0.5000
Mn2 0.5000 0.5000 0.0000
Co1 0.0000 0.0000 0.5000
Co2 0.5000 0.5000 0.5000
O1 0.2632 0.0296 0.7421
O2 0.2638 0.0343 0.2914
O3 0.2649 0.4673 0.7260
O4 0.2850 0.5206 0.2625
O5 0.7150 0.4794 0.7375
O6 0.7351 0.5327 0.2740
O7 0.7362 0.9657 0.7086
O8 0.7368 0.9704 0.2579

Entry 8:
Compound: Li4MnCo2O7
Source: the Alexandria database
Functional: GGA+U
Structure: relaxed

Properties
* M_tot: 14.00 μB/cell
* E: -5.838 eV/atom

a b c (Å): 10.7522 10.7522 8.1897
angles (deg): 101.96 101.96 15.51
Element x y z (fractional)
Li1 0.0000 0.0000 0.0000
Li2 0.0000 0.0000 0.5000
Li3 0.1393 0.1393 0.5608
Li4 0.2907 0.2907 0.1552
Li5 0.4376 0.4376 0.7052
Li6 0.5624 0.5624 0.2948
Li7 0.7093 0.7093 0.8448
Li8 0.8607 0.8607 0.4392
Mn1 0.1447 0.1447 0.0767
Mn2 0.8553 0.8553 0.9233
Co1 0.2844 0.2844 0.6390
Co2 0.4313 0.4313 0.2383
Co3 0.5687 0.5687 0.7617
Co4 0.7156 0.7156 0.3610
O1 0.0056 0.0056 0.7631
O2 0.1428 0.1428 0.8444
O3 0.1534 0.1534 0.3194
O4 0.2776 0.2776 0.4013
O5 0.2906 0.2906 0.8815
O6 0.4162 0.4162 0.9511
O7 0.4251 0.4251 0.4528
O8 0.5749 0.5749 0.5472
O9 0.5838 0.5838 0.0489
O10 0.7094 0.7094 0.1185
O11 0.7224 0.7224 0.5987
O12 0.8466 0.8466 0.6806
O13 0.8572 0.8572 0.1556
O14 0.9944 0.9944 0.2369